Density functional theory data (PBE) for a relaxed Mn2Cr2Cd crystal.

Lattice parameters (Å, degrees): 7.2076 7.2076 2.7770 90.00 90.00 90.00
Last column: nearest neighbours and their distance in Å.
Space group P4/mbm (No. 127)
Symmetry-distinct sites (fractional):
Mn  0.1362  0.3638  0.0000 x4  6 Cr 2.50-2.57, 3 Mn 2.78
Cr  0.1518  0.6518  0.5000 x4  6 Mn 2.50-2.57, 2 Cr 2.78
Cd  0.0000  0.0000  0.0000 x2  2 Cd 2.78, 4 Mn 2.80, 8 Cr 3.07



Density functional theory data (PBE) for a relaxed MnCr2Cd crystal.

Lattice parameters (Å, degrees): 2.9625 2.9625 6.7647 90.00 90.00 90.00
Last column: nearest neighbours and their distance in Å.
Space group P4mm (No. 99)
Symmetry-distinct sites (fractional):
Mn  0.0000  0.0000  0.0000 x1  5 Cr 2.55-2.79
Cr  0.0000  0.0000  0.5881 x1  4 Cr 2.48
Cr  0.5000  0.5000  0.7852 x1  4 Cr 2.48, 4 Mn 2.55
Cd  0.5000  0.5000  0.2902 x1  4 Mn 2.87, 4 Cr 2.91, 4 Cd 2.96



Density functional theory data (PBE) for a relaxed MnCr3Cd crystal.

Lattice parameters (Å, degrees): 5.0285 5.0285 5.0285 90.00 90.00 90.00
Last column: nearest neighbours and their distance in Å.
Space group Pm-3m (No. 221)
Symmetry-distinct sites (fractional):
Mn  0.0000  0.0000  0.0000 x1  12 Cr 3.56
Cr  0.0000  0.5000  0.5000 x3  2 Cd 2.51
Cd  0.5000  0.5000  0.5000 x1  6 Cr 2.51



Density functional theory data (PBE) for a relaxed Mn2CrCd crystal.

Lattice parameters (Å, degrees): 2.9244 2.9244 6.8133 90.00 90.00 90.00
Last column: nearest neighbours and their distance in Å.
Space group P4/mmm (No. 123)
Symmetry-distinct sites (fractional):
Mn  0.0000  0.0000  0.2047 x2  4 Cr 2.49, 1 Mn 2.79
Cr  0.5000  0.5000  0.0000 x1  8 Mn 2.49
Cd  0.5000  0.5000  0.5000 x1  8 Mn 2.88, 4 Cd 2.92



Density functional theory data (PBE) for a relaxed MnCrCd2 crystal.

Lattice parameters (Å, degrees): 2.9368 2.9368 27.7694 90.00 90.00 120.00
Last column: nearest neighbours and their distance in Å.
Space group R3m (No. 160, hexagonal axes)
Symmetry-distinct sites (fractional):
Mn  0.0000  0.0000  0.0000 x3  3 Cr 2.29
Cr  0.0000  0.0000  0.2779 x3  3 Mn 2.29
Cd  0.0000  0.0000  0.5229 x3  6 Cd 2.94, 3 Cr 2.98
Cd  0.0000  0.0000  0.7532 x3  6 Cd 2.94, 3 Mn 2.94



Density functional theory data (PBE) for a relaxed MnCr2Cd crystal.

Lattice parameters (Å, degrees): 3.0052 4.4138 8.5167 90.00 90.00 90.00
Last column: nearest neighbours and their distance in Å.
Space group Cmm2 (No. 35)
Symmetry-distinct sites (fractional):
Mn  0.0000  0.0000  0.0000 x2  2 Cr 2.40, 4 Mn 2.67
Cr  0.0000  0.0000  0.4280 x2  2 Cr 2.32
Cr  0.0000  0.5000  0.2203 x2  2 Cr 2.32, 2 Mn 2.40
Cd  0.0000  0.5000  0.7148 x2  4 Cd 2.67, 2 Mn 2.86, 2 Cr 2.87



no.,formation enthalpy at 0 K (kcal/mol of atoms)
1,6.593
2,5.757
3,40.053
4,4.629
5,6.803
6,8.352